{"formula": "Li3Mn2P2C2O14", "functional": "PBE with a Hubbard U", "state": "relaxed", "cell": [[5.090, 0.000, 0.000], [-0.108, 6.339, 0.000], [-0.743, -0.036, 8.438]], "species": ["Li", "Li", "Li", "Mn", "Mn", "P", "P", "C", "C", "O", "O", "O", "O", "O", "O", "O", "O", "O", "O", "O", "O", "O", "O"], "fractional_positions": [[0.000, 0.000, 0.000], [0.056, 0.709, 0.630], [0.522, 0.231, 0.160], [0.600, 0.014, 0.566], [0.995, 0.516, 0.231], [0.067, 0.017, 0.318], [0.526, 0.509, 0.478], [0.084, 0.517, 0.955], [0.478, 0.012, 0.848], [0.135, 0.540, 0.817], [0.221, 0.539, 0.438], [0.265, 0.497, 0.078], [0.325, 0.978, 0.715], [0.368, 0.042, 0.347], [0.378, 0.040, 0.978], [0.586, 0.320, 0.587], [0.646, 0.704, 0.571], [0.651, 0.485, 0.318], [0.728, 0.018, 0.831], [0.845, 0.517, 0.006], [0.942, 0.012, 0.476], [0.956, 0.198, 0.206], [0.984, 0.825, 0.209]], "sg": "P1 (1)", "magnetic_moment_mub_per_atom": 0.304, "n_ef_per_ev_fu": 3.18, "energy_ev_per_atom": -7.02}